1.
KCdIn2 at its PBEsol-relaxed geometry, computed with meta-GGA SCAN.

Geometry as POSCAR:
```
KCdIn2
1.0
-0.7766 2.3107 2.1324
0.7843 -2.8407 3.3639
7.6370 1.6305 -0.4036
In K Cd
2 1 1
Cartesian
4.6022 3.2938 1.7085
2.2583 0.6475 0.0203
0.0039 -0.2650 2.7482
3.8224 0.5503 2.5463
```

Output
Total energy ... -26.48 eV per atom
D(E_F) ... 0.38 states/eV/atom
Theoretical density ... 5628 kg/m³
Total magnetization ... 0.000 Bohr magnetons per cell
Calculated formation energy ... -0.103 eV/atom
Crystal system ... monoclinic
Volume ... 112.45 Å³/f.u.
Space-group type ... No. 10

---

2.
KCdIn2 at its PBEsol-relaxed geometry, computed with meta-GGA SCAN.

Geometry as POSCAR:
```
KCdIn2
1.0
-1.6601 -0.9241 -3.0401
3.1223 0.1616 -1.7541
1.4415 -8.4646 1.7860
K In Cd
1 2 1
Cartesian
0.7311 -0.3813 -2.3971
0.4315 -2.5340 0.5347
1.0099 -5.9306 1.2513
1.4519 -4.6136 -1.5041
```

Output
Total energy ... -26.46 eV per atom
D(E_F) ... 0.45 states/eV/atom
Theoretical density ... 5615 kg/m³
Total magnetization ... 0.000 Bohr magnetons per cell
Calculated formation energy ... -0.083 eV/atom
Crystal system ... tetragonal
Volume ... 112.71 Å³/f.u.
Space-group type ... No. 123

---

3.
KCdIn2 at its PBEsol-relaxed geometry, computed with meta-GGA SCAN.

Geometry as POSCAR:
```
KCdIn2
1.0
3.4685 0.0000 0.0000
0.0000 3.7858 0.0000
0.0000 0.0000 8.5252
K In Cd
1 2 1
Cartesian
1.7342 1.8929 0.0000
0.0000 0.0000 5.9636
0.0000 0.0000 2.5616
1.7342 1.8929 4.2626
```

Output
Total energy ... -26.46 eV per atom
D(E_F) ... 0.43 states/eV/atom
Theoretical density ... 5654 kg/m³
Total magnetization ... 0.000 Bohr magnetons per cell
Calculated formation energy ... -0.084 eV/atom
Crystal system ... orthorhombic
Volume ... 111.94 Å³/f.u.
Space-group type ... No. 47

---

4.
KCd2In at its PBEsol-relaxed geometry, computed with meta-GGA SCAN.

Geometry as POSCAR:
```
KCd2In
1.0
-1.0475 2.7964 -1.1042
-3.0646 0.0217 2.9622
4.9503 3.8655 5.0931
Cd In K
2 1 1
Cartesian
-0.8532 2.3484 2.1666
0.2855 0.2229 0.2937
2.2030 1.7203 2.2666
1.6780 4.3248 4.7708
```

Output
Total energy ... -25.69 eV per atom
D(E_F) ... 0.45 states/eV/atom
Theoretical density ... 5731 kg/m³
Total magnetization ... 0.000 Bohr magnetons per cell
Calculated formation energy ... -0.052 eV/atom
Crystal system ... orthorhombic
Volume ... 109.73 Å³/f.u.
Space-group type ... No. 25

---

5.
KCdIn2 at its PBEsol-relaxed geometry, computed with meta-GGA SCAN.

Geometry as POSCAR:
```
KCdIn2
1.0
-0.5199 -2.5526 -2.0546
-0.5536 -2.6265 3.4032
-7.8773 1.6259 -0.0265
Cd K In
1 1 2
Cartesian
-6.8689 -1.2826 0.6530
-3.9698 0.8194 -0.0134
-7.8253 1.6151 -0.0264
-2.1028 -2.2663 0.6690
```

Output
Total energy ... -26.45 eV per atom
D(E_F) ... 0.45 states/eV/atom
Theoretical density ... 5472 kg/m³
Total magnetization ... 0.000 Bohr magnetons per cell
Calculated formation energy ... -0.070 eV/atom
Crystal system ... orthorhombic
Volume ... 115.67 Å³/f.u.
Space-group type ... No. 25

---

6.
KCd4In at its PBEsol-relaxed geometry, computed with meta-GGA SCAN.

Geometry as POSCAR:
```
KCd4In
1.0
-4.9024 0.3519 -3.3776
-0.8239 -3.8594 -4.4712
-4.2184 -4.1945 0.4208
Cd K In
4 1 1
Cartesian
-3.7317 -2.8901 -2.7873
-5.8368 -4.9833 -2.5773
-4.1429 -4.8161 -5.0185
-6.1781 -2.7145 -4.4728
0.0000 0.0000 0.0000
-7.4585 -5.7765 -5.5710
```

Output
Total energy ... -27.26 eV per atom
D(E_F) ... 0.45 states/eV/atom
Theoretical density ... 6683 kg/m³
Total magnetization ... 0.000 Bohr magnetons per cell
Calculated formation energy ... -0.028 eV/atom
Crystal system ... cubic
Volume ... 149.98 Å³/f.u.
Space-group type ... No. 216

---

7.
KNbCdIn2 at its PBEsol-relaxed geometry, computed with meta-GGA SCAN.

Geometry as POSCAR:
```
KNbCdIn2
1.0
-4.3459 -1.9249 2.5455
-1.7344 -2.1855 -4.6138
2.7337 -4.6303 1.1657
K Nb Cd In
1 1 1 2
Cartesian
-1.6733 -4.3704 -0.4513
0.0000 0.0000 0.0000
1.3668 -2.3152 0.5828
-0.8672 -1.0927 -2.3069
-2.1730 -0.9625 1.2727
```

Output
Total energy ... -27.43 eV per atom
D(E_F) ... 0.95 states/eV/atom
Theoretical density ... 4921 kg/m³
Total magnetization ... 0.000 Bohr magnetons per cell
Calculated formation energy ... 0.299 eV/atom
Crystal system ... tetragonal
Volume ... 159.95 Å³/f.u.
Space-group type ... No. 123

---

8.
KCdIn2Re at its PBEsol-relaxed geometry, computed with meta-GGA SCAN.

Geometry as POSCAR:
```
KCdIn2Re
1.0
5.1863 0.0000 0.0000
0.0000 5.1863 0.0000
0.0000 0.0000 5.2992
In Re K Cd
2 1 1 1
Cartesian
0.0000 2.5931 0.0000
2.5931 0.0000 0.0000
0.0000 0.0000 0.0000
2.5931 2.5931 2.6496
0.0000 0.0000 2.6496
```

Output
Total energy ... -35.09 eV per atom
D(E_F) ... 0.62 states/eV/atom
Theoretical density ... 6610 kg/m³
Total magnetization ... 0.000 Bohr magnetons per cell
Calculated formation energy ... 0.238 eV/atom
Crystal system ... tetragonal
Volume ... 142.54 Å³/f.u.
Space-group type ... No. 123

---

9.
K2CdInTc at its PBEsol-relaxed geometry, computed with meta-GGA SCAN.

Geometry as POSCAR:
```
K2CdInTc
1.0
5.2117 0.0000 0.0000
0.0000 6.1403 0.0000
0.0000 0.0000 6.1403
K Cd In Tc
2 1 1 1
Cartesian
0.0000 3.0702 0.0000
0.0000 0.0000 3.0702
0.0000 0.0000 0.0000
2.6059 0.0000 0.0000
2.6059 3.0702 3.0702
```

Output
Total energy ... -22.04 eV per atom
D(E_F) ... 0.67 states/eV/atom
Theoretical density ... 3409 kg/m³
Total magnetization ... 4.191 Bohr magnetons per cell
Calculated formation energy ... 1.066 eV/atom
Crystal system ... tetragonal
Volume ... 196.50 Å³/f.u.
Space-group type ... No. 123

---

10.
LaCdIn2 at its PBEsol-relaxed geometry, computed with meta-GGA SCAN.

Geometry as POSCAR:
```
LaCdIn2
1.0
-2.8337 -2.4953 -2.8690
-0.3591 -4.6995 0.5229
-5.2054 -1.6948 2.6964
In Cd La
2 1 1
Cartesian
-5.9993 -6.7180 0.0113
-2.3989 -2.1715 0.3390
-4.1991 -4.4448 0.1751
0.0000 0.0000 0.0000
```

Output
Total energy ... -35.56 eV per atom
D(E_F) ... 0.34 states/eV/atom
Theoretical density ... 7519 kg/m³
Total magnetization ... 0.000 Bohr magnetons per cell
Calculated formation energy ... -0.488 eV/atom
Crystal system ... trigonal
Volume ... 106.21 Å³/f.u.
Space-group type ... No. 166

---

11.
LaCdIn2 at its PBEsol-relaxed geometry, computed with meta-GGA SCAN.

Geometry as POSCAR:
```
LaCdIn2
1.0
3.3264 0.0000 0.0000
0.0000 4.1950 0.0000
0.0000 0.0000 7.2910
La In Cd
1 2 1
Cartesian
1.6632 2.0975 0.0000
0.0000 0.0000 5.1788
0.0000 0.0000 2.1122
1.6632 2.0975 3.6455
```

Output
Total energy ... -35.43 eV per atom
D(E_F) ... 0.46 states/eV/atom
Theoretical density ... 7850 kg/m³
Total magnetization ... 0.002 Bohr magnetons per cell
Calculated formation energy ... -0.357 eV/atom
Crystal system ... orthorhombic
Volume ... 101.74 Å³/f.u.
Space-group type ... No. 47

---

12.
LaCdIn2 at its PBEsol-relaxed geometry, computed with meta-GGA SCAN.

Geometry as POSCAR:
```
LaCdIn2
1.0
4.6342 0.0000 0.0000
0.0000 4.6949 0.0000
0.0000 0.0000 4.6949
In Cd La
2 1 1
Cartesian
0.0000 2.3474 0.0000
0.0000 0.0000 2.3474
2.3171 0.0000 0.0000
2.3171 2.3474 2.3474
```

Output
Total energy ... -35.60 eV per atom
D(E_F) ... 0.35 states/eV/atom
Theoretical density ... 7818 kg/m³
Total magnetization ... 0.000 Bohr magnetons per cell
Calculated formation energy ... -0.523 eV/atom
Crystal system ... tetragonal
Volume ... 102.15 Å³/f.u.
Space-group type ... No. 123